Material: Tb6PrNd2Y
Method: DFT, PBE-GGA
State: optimized geometry Values from VASP.

Cell and atoms, written as Quantum ESPRESSO input:
```
&SYSTEM
  ibrav = 0, nat = 20, ntyp = 4
/
ATOMIC_SPECIES
Tb 158.93 Tb.upf
Nd 144.24 Nd.upf
Pr 140.91 Pr.upf
Y 88.91 Y.upf
ATOMIC_POSITIONS crystal
Tb 0.443 0.255 0.875
Tb 0.186 0.579 0.029
Tb 0.943 0.875 0.255
Tb 0.686 0.029 0.579
Tb 0.121 0.709 0.501
Tb 0.379 0.499 0.291
Tb 0.814 0.421 0.971
Tb 0.621 0.501 0.709
Tb 0.879 0.291 0.499
Tb 0.314 0.971 0.421
Tb 0.557 0.745 0.125
Tb 0.057 0.125 0.745
Nd 0.041 0.295 0.188
Nd 0.459 0.812 0.705
Nd 0.541 0.188 0.295
Nd 0.959 0.705 0.812
Pr 0.750 0.595 0.405
Pr 0.250 0.405 0.595
Y 0.750 0.018 0.982
Y 0.250 0.982 0.018
CELL_PARAMETERS angstrom
9.302 -2.190 -2.273
0.759 8.588 -2.063
0.759 -2.380 8.506
```

Calculated volume in Å³/cell: 670.3
ΔE_f in kJ/mol of atoms: 11.5
SG: C2/c